1.
A plane-wave DFT calculation with PBE-GGA was carried out for Y2Au after structural relaxation.

Properties
Formation enthalpy at 0 K   -0.41 eV per atom
E   -5.814 eV per atom
Calculated volume   28.222 Å³/atom

a = 13.592 Å, b = 13.592 Å, c = 13.592 Å
α = 164.95°, β = 164.95°, γ = 21.35°
Fractional positions:
Au: 0.750 0.250 0.500
Au: 0.000 0.000 0.000
Y: 0.316 0.816 0.500
Y: 0.566 0.566 0.000
Y: 0.434 0.434 0.000
Y: 0.184 0.684 0.500


2.
A plane-wave DFT calculation with PBE-GGA was carried out for YCdIn after structural relaxation.

Properties
Formation enthalpy at 0 K   -0.41 eV per atom
E   -3.787 eV per atom
Calculated volume   25.184 Å³/atom

a = 6.107 Å, b = 6.107 Å, c = 4.904 Å
α = 113.70°, β = 66.30°, γ = 107.75°
Fractional positions:
Cd: 0.495 0.604 0.112
Cd: 0.946 0.055 0.112
In: 0.620 0.398 0.447
In: 0.153 0.930 0.447
Y: 0.053 0.497 0.780
Y: 0.554 0.996 0.779


3.
A plane-wave DFT calculation with PBE-GGA was carried out for Dy2MgPa2Ru5 after structural relaxation.

Properties
Formation enthalpy at 0 K   -0.22 eV per atom
E   -7.836 eV per atom
Calculated volume   20.109 Å³/atom

a = 3.330 Å, b = 10.990 Å, c = 10.990 Å
α = 90.00°, β = 90.00°, γ = 90.00°
Fractional positions:
Ru: 0.500 0.959 0.213
Ru: 0.500 0.213 0.041
Ru: 0.500 0.787 0.959
Ru: 0.500 0.500 0.000
Ru: 0.500 0.041 0.787
Ru: 0.500 0.287 0.541
Ru: 0.500 0.541 0.713
Ru: 0.500 0.000 0.500
Ru: 0.500 0.713 0.459
Ru: 0.500 0.459 0.287
Mg: 0.000 0.500 0.500
Mg: 0.000 0.000 0.000
Pa: 0.000 0.653 0.847
Pa: 0.000 0.847 0.347
Pa: 0.000 0.347 0.153
Pa: 0.000 0.153 0.653
Dy: 0.000 0.343 0.843
Dy: 0.000 0.657 0.157
Dy: 0.000 0.843 0.657
Dy: 0.000 0.157 0.343


4.
A plane-wave DFT calculation with PBE-GGA was carried out for YAlCrTe2 after structural relaxation.

Properties
E   -4.147 eV per atom
Calculated volume   29.734 Å³/atom
ΔE_f (raw)   1.075 eV/atom

a = 5.272 Å, b = 5.350 Å, c = 5.272 Å
α = 90.00°, β = 90.00°, γ = 90.00°
Last column: magnetic moment on the atom in μB.
Fractional positions:
Cr: 0.500 0.500 0.500  -0.30
Al: 0.000 0.000 0.000  0.00
Te: 0.500 0.000 0.000  -0.01
Te: 0.000 0.000 0.500  0.00
Y: 0.000 0.500 0.000  0.03


5.
A plane-wave DFT calculation with PBE-GGA was carried out for ScMnTl after structural relaxation.

Properties
Formation enthalpy at 0 K   0.35 eV per atom
E   -5.610 eV per atom
Calculated volume   24.534 Å³/atom

a = 4.704 Å, b = 4.704 Å, c = 4.704 Å
α = 60.00°, β = 60.00°, γ = 60.00°
Last column: magnetic moment on the atom in μB.
Fractional positions:
Mn: 0.000 0.000 0.000  4.06
Tl: 0.750 0.750 0.750  -0.05
Sc: 0.500 0.500 0.500  0.12


6.
A plane-wave DFT calculation with PBE-GGA was carried out for TaNbIr2 after structural relaxation.

Properties
Formation enthalpy at 0 K   -0.55 eV per atom
E   -10.465 eV per atom
Energy above the lowest structure with this stoichiometry   6 meV per atom
Calculated volume   16.127 Å³/atom

a = 3.888 Å, b = 4.073 Å, c = 4.073 Å
α = 90.00°, β = 90.00°, γ = 90.00°
Fractional positions:
Ta: 0.500 0.000 0.000
Nb: 0.500 0.500 0.500
Ir: 0.000 0.000 0.500
Ir: 0.000 0.500 0.000


7.
A plane-wave DFT calculation with PBE-GGA was carried out for CsGd2Cl7 after structural relaxation.

Properties
E   -6.470 eV per atom
Calculated volume   32.660 Å³/atom
ΔE_f (raw)   -2.276 eV/atom

a = 7.093 Å, b = 12.887 Å, c = 14.293 Å
α = 90.00°, β = 90.00°, γ = 90.00°
Last column: magnetic moment on the atom in μB.
Fractional positions:
Cs: 0.750 0.295 0.467  0.00
Cs: 0.250 0.795 0.033  0.00
Cs: 0.750 0.205 0.967  0.00
Cs: 0.250 0.705 0.533  0.00
Gd: 0.250 0.450 0.242  6.94
Gd: 0.750 0.950 0.258  6.94
Gd: 0.750 0.854 0.753  6.93
Gd: 0.250 0.050 0.742  6.94
Gd: 0.750 0.550 0.758  6.94
Gd: 0.250 0.146 0.247  6.93
Gd: 0.250 0.354 0.747  6.93
Gd: 0.750 0.646 0.253  6.93
Cl: 0.512 0.703 0.821  -0.01
Cl: 0.010 0.934 0.632  -0.01
Cl: 0.991 0.969 0.865  0.00
Cl: 0.510 0.434 0.868  -0.01
Cl: 0.488 0.297 0.179  -0.01
Cl: 0.010 0.566 0.132  -0.01
Cl: 0.988 0.703 0.821  -0.01
Cl: 0.750 0.800 0.117  0.00
Cl: 0.012 0.203 0.679  -0.01
Cl: 0.491 0.469 0.635  0.00
Cl: 0.512 0.797 0.321  -0.01
Cl: 0.009 0.031 0.135  0.00
Cl: 0.491 0.031 0.135  0.00
Cl: 0.250 0.200 0.883  0.00
Cl: 0.009 0.469 0.635  0.00
Cl: 0.509 0.531 0.365  0.00
Cl: 0.488 0.203 0.679  -0.01
Cl: 0.490 0.934 0.632  -0.01
Cl: 0.012 0.297 0.179  -0.01
Cl: 0.510 0.066 0.368  -0.01
Cl: 0.990 0.066 0.368  -0.01
Cl: 0.490 0.566 0.132  -0.01
Cl: 0.750 0.700 0.617  0.00
Cl: 0.509 0.969 0.865  0.00
Cl: 0.991 0.531 0.365  0.00
Cl: 0.990 0.434 0.868  -0.01
Cl: 0.988 0.797 0.321  -0.01
Cl: 0.250 0.300 0.383  0.00


8.
A plane-wave DFT calculation with PBE-GGA was carried out for RbTbSiS4 after structural relaxation.

Properties
E   -5.361 eV per atom
Calculated volume   26.476 Å³/atom
ΔE_f (raw)   -1.428 eV/atom

a = 6.428 Å, b = 6.668 Å, c = 9.083 Å
α = 90.00°, β = 107.80°, γ = 90.00°
Fractional positions:
S: 0.001 0.501 0.297
S: 0.578 0.250 0.432
S: 0.999 0.001 0.703
S: 0.999 0.499 0.703
S: 0.583 0.250 0.816
S: 0.001 0.999 0.297
S: 0.417 0.750 0.184
S: 0.422 0.750 0.568
Tb: 0.226 0.250 0.548
Tb: 0.774 0.750 0.452
Si: 0.222 0.750 0.334
Si: 0.778 0.250 0.666
Rb: 0.731 0.750 0.936
Rb: 0.269 0.250 0.064


9.
A plane-wave DFT calculation with PBE-GGA was carried out for ReNiMo after structural relaxation.

Properties
Formation enthalpy at 0 K   0.09 eV per atom
E   -9.599 eV per atom
Energy above the lowest structure with this stoichiometry   98 meV per atom
Calculated volume   14.176 Å³/atom

a = 4.351 Å, b = 4.351 Å, c = 2.594 Å
α = 90.00°, β = 90.00°, γ = 120.00°
Fractional positions:
Ni: 0.667 0.333 0.273
Re: 0.333 0.667 0.699
Mo: 0.000 0.000 0.028


10.
A plane-wave DFT calculation with PBE-GGA was carried out for BaIr2W after structural relaxation.

Properties
Formation enthalpy at 0 K   0.46 eV per atom
E   -7.685 eV per atom
Energy above the lowest structure with this stoichiometry   391 meV per atom
Calculated volume   22.901 Å³/atom

a = 4.468 Å, b = 3.196 Å, c = 6.496 Å
α = 80.99°, β = 90.00°, γ = 90.00°
Fractional positions:
Ir: 0.500 0.151 0.316
Ir: 0.000 0.119 0.049
Ba: 0.500 0.703 0.792
W: 0.000 0.526 0.343


11.
A plane-wave DFT calculation with PBE-GGA was carried out for Th2MnFe9 after structural relaxation.

Properties
Formation enthalpy at 0 K   0.12 eV per atom
E   -8.230 eV per atom
Calculated volume   15.122 Å³/atom

a = 5.058 Å, b = 5.058 Å, c = 8.695 Å
α = 73.09°, β = 73.09°, γ = 60.00°
Last column: magnetic moment on the atom in μB.
Fractional positions:
Fe: 0.333 0.333 0.001  2.55
Fe: 0.667 0.667 0.999  2.55
Fe: 0.081 0.579 0.761  2.20
Fe: 0.421 0.919 0.239  2.20
Fe: 0.500 0.500 0.500  1.92
Fe: 0.579 0.081 0.761  2.20
Fe: 0.919 0.421 0.239  2.20
Fe: 0.579 0.579 0.761  2.20
Fe: 0.421 0.421 0.239  2.20
Th: 0.136 0.136 0.591  -0.39
Th: 0.864 0.864 0.409  -0.39
Mn: 0.000 0.000 0.000  3.89


12.
A plane-wave DFT calculation with PBE-GGA was carried out for NdCd5Hg6 after structural relaxation.

Properties
Formation enthalpy at 0 K   -0.12 eV per atom
E   -1.048 eV per atom
Calculated volume   24.196 Å³/atom

a = 9.992 Å, b = 4.640 Å, c = 7.493 Å
α = 71.96°, β = 81.51°, γ = 61.53°
Fractional positions:
Cd: 0.000 0.327 0.347
Cd: 0.500 0.170 0.660
Cd: 0.500 0.500 0.000
Cd: 0.000 0.673 0.653
Cd: 0.500 0.830 0.340
Hg: 0.263 0.236 0.000
Hg: 0.745 0.085 0.335
Hg: 0.255 0.579 0.335
Hg: 0.745 0.421 0.665
Hg: 0.737 0.764 0.000
Hg: 0.255 0.915 0.665
Nd: 0.000 0.000 0.000


Among the records above, which one has the highest calculated volume? CsGd2Cl7


Among the records above, which one has the lowest E? TaNbIr2